(a)
{"formula": "FeAsIO2", "functional": "GGA+U", "state": "relaxed", "sg": "P4/mmm", "rho_g_cm3": 4.73, "lattice": [[3.890, 0.000, 0.000], [0.000, 3.890, 0.000], [0.000, 0.000, 6.725]], "species": ["I", "As", "Fe", "O", "O"], "fractional_positions": [[0.000, 0.000, 0.500], [0.500, 0.500, 0.500], [0.000, 0.000, 0.000], [0.000, 0.500, 0.000], [0.500, 0.000, 0.000]]}


(b)
{"formula": "FeAsIO2", "functional": "GGA+U", "state": "relaxed", "sg": "P4/mmm", "rho_g_cm3": 5.11, "lattice": [[3.935, 0.000, 0.000], [0.000, 3.935, 0.000], [0.000, 0.000, 6.078]], "species": ["I", "As", "Fe", "O", "O"], "fractional_positions": [[0.000, 0.000, 0.500], [0.000, 0.000, 0.000], [0.500, 0.500, 0.500], [0.000, 0.500, 0.000], [0.500, 0.000, 0.000]]}


Unit: meV per atom. Relative energies: (a) 17; (b) 0.